# 1
# ZrHg

A geometry-optimized ZrHg structure (PBE-GGA, Alexandria).

Geometry as CIF:
```
data_ZrHg
_cell_length_a 11.009
_cell_length_b 11.009
_cell_length_c 3.246
_cell_angle_alpha 90.00
_cell_angle_beta 90.00
_cell_angle_gamma 90.00
_symmetry_space_group_name_H-M 'I 4/m'
_symmetry_Int_Tables_number 87
_symmetry_space_group_name_Hall '-I 4'
loop_
_atom_site_label
_atom_site_fract_x
_atom_site_fract_y
_atom_site_fract_z
Zr1 0.100 0.634 0.000
Hg1 0.094 0.165 0.000
```

Output
Density of states at the Fermi level (states/eV per cell): 14.91
Energy of formation from the pure elements (meV/atom): 42.4
M_tot (Bohr magnetons per cell): 0.00

---

# 2
# ZrHg

A geometry-optimized ZrHg structure (PBE-GGA, Alexandria).

Geometry as CIF:
```
data_ZrHg
_cell_length_a 4.8737
_cell_length_b 4.8737
_cell_length_c 5.7730
_cell_angle_alpha 90.00
_cell_angle_beta 90.00
_cell_angle_gamma 120.00
_symmetry_space_group_name_H-M 'P 63/m m c'
_symmetry_Int_Tables_number 194
_symmetry_space_group_name_Hall '-P 6c 2c'
loop_
_atom_site_label
_atom_site_fract_x
_atom_site_fract_y
_atom_site_fract_z
Zr1 0.3333 0.6667 0.2500
Hg1 0.3333 0.6667 0.7500
```

Output
Density of states at the Fermi level (states/eV per cell): 7.50
Energy of formation from the pure elements (meV/atom): 662.7
M_tot (Bohr magnetons per cell): 0.00

---

# 3
# Zr5Hg3

A geometry-optimized Zr5Hg3 structure (PBE-GGA, Alexandria).

Geometry as CIF:
```
data_Zr5Hg3
_cell_length_a 3.172
_cell_length_b 3.172
_cell_length_c 17.646
_cell_angle_alpha 90.00
_cell_angle_beta 90.00
_cell_angle_gamma 90.00
_symmetry_space_group_name_H-M 'P 4/m m m'
_symmetry_Int_Tables_number 123
_symmetry_space_group_name_Hall '-P 4 2'
loop_
_atom_site_label
_atom_site_fract_x
_atom_site_fract_y
_atom_site_fract_z
Zr1 0.000 0.000 0.000
Zr2 0.000 0.000 0.246
Zr3 0.500 0.500 0.374
Hg1 0.000 0.000 0.500
Hg2 0.500 0.500 0.121
```

Output
Density of states at the Fermi level (states/eV per cell): 8.68
Energy of formation from the pure elements (meV/atom): -160.5
Distance to the lowest polymorph of the same formula (eV per formula unit): 0.00
M_tot (Bohr magnetons per cell): 0.00

---

# 4
# Zr5Hg

A geometry-optimized Zr5Hg structure (PBE-GGA, Alexandria).

Geometry as CIF:
```
data_Zr5Hg
_cell_length_a 5.232
_cell_length_b 3.186
_cell_length_c 16.390
_cell_angle_alpha 90.00
_cell_angle_beta 90.00
_cell_angle_gamma 90.00
_symmetry_space_group_name_H-M 'A m m 2'
_symmetry_Int_Tables_number 38
loop_
_symmetry_equiv_pos_as_xyz
'x,y,z'
'-x,-y,z'
'-x,y,z'
'x,-y,z'
'x,y+1/2,z+1/2'
'-x,-y+1/2,z+1/2'
'-x,y+1/2,z+1/2'
'x,-y+1/2,z+1/2'
loop_
_atom_site_label
_atom_site_fract_x
_atom_site_fract_y
_atom_site_fract_z
Zr1 0.000 0.000 0.000
Zr2 0.000 0.000 0.329
Zr3 0.500 0.000 0.119
Zr4 0.500 0.000 0.449
Zr5 0.500 0.000 0.785
Hg1 0.000 0.000 0.668
```

Output
Density of states at the Fermi level (states/eV per cell): 14.17
Energy of formation from the pure elements (meV/atom): -19.4
Distance to the lowest polymorph of the same formula (eV per formula unit): 0.28
M_tot (Bohr magnetons per cell): 0.00

---

# 5
# Zr3Hg

A geometry-optimized Zr3Hg structure (PBE-GGA, Alexandria).

Geometry as CIF:
```
data_Zr3Hg
_cell_length_a 4.406
_cell_length_b 4.406
_cell_length_c 18.155
_cell_angle_alpha 90.00
_cell_angle_beta 90.00
_cell_angle_gamma 90.00
_symmetry_space_group_name_H-M 'I 4/m m m'
_symmetry_Int_Tables_number 139
_symmetry_space_group_name_Hall '-I 4 2'
loop_
_atom_site_label
_atom_site_fract_x
_atom_site_fract_y
_atom_site_fract_z
Zr1 0.000 0.000 0.124
Zr2 0.000 0.500 0.000
Zr3 0.000 0.500 0.250
Hg1 0.000 0.000 0.376
```

Output
Density of states at the Fermi level (states/eV per cell): 17.23
Energy of formation from the pure elements (meV/atom): -124.7
M_tot (Bohr magnetons per cell): 0.00

---

# 6
# ZrHg3

A geometry-optimized ZrHg3 structure (PBE-GGA, Alexandria).

Geometry as CIF:
```
data_ZrHg3
_cell_length_a 5.752
_cell_length_b 5.752
_cell_length_c 5.752
_cell_angle_alpha 90.00
_cell_angle_beta 90.00
_cell_angle_gamma 90.00
_symmetry_space_group_name_H-M 'P m -3 m'
_symmetry_Int_Tables_number 221
_symmetry_space_group_name_Hall '-P 4 2 3'
loop_
_atom_site_label
_atom_site_fract_x
_atom_site_fract_y
_atom_site_fract_z
Zr1 0.000 0.000 0.000
Hg1 0.000 0.000 0.500
```

Output
Density of states at the Fermi level (states/eV per cell): 4.96
Energy of formation from the pure elements (meV/atom): 626.2
M_tot (Bohr magnetons per cell): 0.85

---

# 7
# ZrHg3

A geometry-optimized ZrHg3 structure (PBE-GGA, Alexandria).

Geometry as CIF:
```
data_ZrHg3
_cell_length_a 3.2582
_cell_length_b 3.2582
_cell_length_c 30.4498
_cell_angle_alpha 90.00
_cell_angle_beta 90.00
_cell_angle_gamma 120.00
_symmetry_space_group_name_H-M 'R -3 m'
_symmetry_Int_Tables_number 166
_symmetry_space_group_name_Hall '-R 3 2"'
loop_
_atom_site_label
_atom_site_fract_x
_atom_site_fract_y
_atom_site_fract_z
Zr1 0.0000 0.0000 0.0000
Hg1 0.0000 0.0000 0.2525
Hg2 0.0000 0.0000 0.5000
```

Output
Density of states at the Fermi level (states/eV per cell): 11.88
Energy of formation from the pure elements (meV/atom): 42.5
M_tot (Bohr magnetons per cell): 0.00

---

# 8
# ZrHg8

A geometry-optimized ZrHg8 structure (PBE-GGA, Alexandria).

Geometry as CIF:
```
data_ZrHg8
_cell_length_a 9.692
_cell_length_b 9.692
_cell_length_c 4.499
_cell_angle_alpha 90.00
_cell_angle_beta 90.00
_cell_angle_gamma 90.00
_symmetry_space_group_name_H-M 'I 4/m m m'
_symmetry_Int_Tables_number 139
_symmetry_space_group_name_Hall '-I 4 2'
loop_
_atom_site_label
_atom_site_fract_x
_atom_site_fract_y
_atom_site_fract_z
Zr1 0.000 0.000 0.000
Hg1 0.000 0.330 0.000
Hg2 0.164 0.164 0.500
```

Output
Density of states at the Fermi level (states/eV per cell): 10.15
Energy of formation from the pure elements (meV/atom): 56.9
M_tot (Bohr magnetons per cell): 0.00

---

- What is the density of states at the Fermi level in the seventh record?
  11.88 states/eV per cell